# CsAgSn4, optimized geometry, DFT PBE
# Space group ... C2/m, No. 12
# Formation energy ... -36 kJ/mol of formula units
data_CsAgSn4
_cell_length_a 5.831
_cell_length_b 8.038
_cell_length_c 9.834
_cell_angle_alpha 114.12
_cell_angle_beta 102.93
_cell_angle_gamma 90.00
_space_group_name_H-M_alt 'P 1'
_space_group_IT_number 1
_space_group_name_Hall 'P 1'
loop_
_atom_site_label
_atom_site_type_symbol
_atom_site_fract_x
_atom_site_fract_y
_atom_site_fract_z
_atom_site_occupancy
Sn1 Sn 0.760 0.371 0.743 1
Cs1 Cs 0.163 0.220 0.440 1
Sn2 Sn 0.462 0.712 0.827 1
Ag1 Ag 0.752 0.541 0.081 1
Sn3 Sn 0.240 0.629 0.257 1
Sn4 Sn 0.462 0.115 0.827 1
Sn5 Sn 0.000 0.798 0.000 1
Sn6 Sn 0.538 0.885 0.173 1
Sn7 Sn 0.000 0.202 0.000 1
Sn8 Sn 0.538 0.288 0.173 1
Cs2 Cs 0.837 0.780 0.560 1
Ag2 Ag 0.248 0.459 0.919 1